[1]
Density functional theory data (PBE) for a relaxed Zn2InSe crystal.

The uncorrected formation energy comes out at -13 meV per atom.

It has space group Immm (No. 71), with a = 3.660 Å, b = 6.097 Å, c = 8.135 Å, α = 90.00°, β = 90.00° and γ = 90.00°. Symmetry generates all atoms from Zn at (0.000, 0.000, 0.228), In at (0.000, 0.500, 0.000) and Se at (0.000, 0.500, 0.500).

***

[2]
Density functional theory data (PBE) for a relaxed Th2NpAl9 crystal.

The calculation puts the formation energy at -0.221 eV/atom.

It has space group R-3m (No. 166, hexagonal axes), with a = 5.6240 Å, b = 5.6240 Å, c = 26.6141 Å, α = 90.00°, β = 90.00° and γ = 120.00°. Symmetry generates all atoms from Th at (0.0000, 0.0000, 0.1409), Np at (0.0000, 0.0000, 0.0000), Al at (0.0000, 0.0000, 0.3348), Al at (0.0000, 0.0000, 0.5000) and Al at (0.0058, 0.5029, 0.9180).

***

[3]
Density functional theory data (PBE) for a relaxed Ta2RhBr crystal.

The uncorrected formation energy comes out at 391 meV per atom.

It has space group Fm-3m (No. 225), with a = 6.488 Å, b = 6.488 Å, c = 6.488 Å, α = 90.00°, β = 90.00° and γ = 90.00°. Symmetry generates all atoms from Ta at (0.250, 0.250, 0.250), Rh at (0.000, 0.000, 0.000) and Br at (0.000, 0.000, 0.500).

***

Energy? In order: -2.2062 -5.3429 -7.7918 eV/atom.